1.
The following is a DFT calculation (PBE) of crystalline MnIn2Pt at its relaxed geometry.

extended XYZ file:
```
4
Lattice="-2.459 -1.959 -0.086 1.088 -1.248 -2.674 3.764 -4.890 3.816" Properties=species:S:1:pos:R:3 pbc="T T T"
Pt 2.138 -5.272 1.482
In 1.883 -2.446 1.909
In 3.763 -4.889 3.815
Mn 0.256 -2.827 -0.426
```

Values from the calculation:
- DOS at the Fermi energy: 0.55 states/eV per atom
- Space group: P4/mmm
- Energy of formation from the pure elements: -0.08 eV/atom
- Volume: 17.943 Å³ per atom

---

2.
The following is a DFT calculation (PBE) of crystalline Ta2OsBrCl at its relaxed geometry.

extended XYZ file:
```
5
Lattice="4.722 0.000 0.000 0.000 4.989 0.000 0.000 0.000 4.722" Properties=species:S:1:pos:R:3 pbc="T T T"
Ta 0.000 0.000 2.361
Ta 2.361 0.000 0.000
Os 2.361 2.494 2.361
Cl 0.000 2.494 0.000
Br 0.000 0.000 0.000
```

Values from the calculation:
- Raw formation energy: 2.2604 eV per atom
- DOS at the Fermi energy: 1.11 states/eV per atom
- Space group: P4/mmm
- Volume: 22.244 Å³ per atom

---

3.
The following is a DFT calculation (PBE) of crystalline ScCdNiRh at its relaxed geometry.

extended XYZ file:
```
4
Lattice="4.510 0.000 0.000 2.255 3.906 0.000 2.255 1.302 3.683" Properties=species:S:1:pos:R:3 pbc="T T T"
Rh 4.510 2.604 1.841
Cd 6.765 3.906 2.762
Ni 0.000 0.000 0.000
Sc 2.255 1.302 0.921
```

Values from the calculation:
- DOS at the Fermi energy: 0.61 states/eV per atom
- Space group: F-43m
- Energy of formation from the pure elements: -0.45 eV/atom
- Volume: 16.218 Å³ per atom

---

4.
The following is a DFT calculation (PBE) of crystalline KNdHgSe3 at its relaxed geometry.

extended XYZ file:
```
12
Lattice="4.355 0.000 0.000 0.000 8.971 -0.188 0.000 -2.571 9.958" Properties=species:S:1:pos:R:3 pbc="T T T"
Nd 3.267 0.708 8.506
Nd 1.089 5.692 1.264
Se 1.089 5.687 4.463
Se 1.089 -1.383 8.640
Se 3.267 3.694 1.436
Se 3.267 0.713 5.307
Se 1.089 2.706 8.334
Se 3.267 7.783 1.130
K 3.267 5.106 7.447
K 1.089 1.294 2.323
Hg 3.267 7.131 3.688
Hg 1.089 -0.731 6.082
```

Values from the calculation:
- Raw formation energy: -1.1906 eV per atom
- Space group: P2_1/m
- Volume: 32.247 Å³ per atom

---

5.
The following is a DFT calculation (PBE) of crystalline Ba2NdMg3H12 at its relaxed geometry.

extended XYZ file:
```
18
Lattice="-0.425 5.679 3.757 -2.688 -0.439 6.255 4.154 0.657 5.372" Properties=species:S:1:pos:R:3 pbc="T T T"
Ba 0.402 2.278 5.942
Ba 0.639 3.619 9.442
Mg 2.077 0.329 2.686
Mg -0.212 2.840 1.878
Mg -1.344 -0.219 3.128
H -0.953 4.809 10.913
H -1.363 1.284 7.853
H -1.059 0.599 4.865
H 2.403 4.614 7.531
H 2.802 1.951 7.316
H -0.049 3.329 3.750
H 1.994 1.088 4.471
H 2.100 5.298 10.519
H -1.761 3.946 8.068
H 1.090 2.568 11.634
H 1.026 0.889 9.051
H 0.015 5.008 6.333
Nd 0.000 0.000 0.000
```

Values from the calculation:
- Electronic total energy: -3.30 eV/atom
- DOS at the Fermi energy: 0.29 states/eV per atom
- Space group: R-3m
- Volume: 12.918 Å³ per atom

---

6.
The following is a DFT calculation (PBE) of crystalline SnPbS2 at its relaxed geometry.

extended XYZ file:
```
4
Lattice="7.251 0.000 0.000 6.044 4.005 0.000 6.044 1.821 3.568" Properties=species:S:1:pos:R:3 pbc="T T T"
S 14.558 4.386 2.685
S 4.781 1.440 0.882
Sn 9.670 2.913 1.784
Pb 0.000 0.000 0.000
```

Values from the calculation:
- ΔE to the lowest computed polymorph: 14 meV per atom
- Raw formation energy: -0.4665 eV per atom
- DOS at the Fermi energy: 0.06 states/eV per atom
- Space group: R-3m
- Volume: 25.906 Å³ per atom

---

7.
The following is a DFT calculation (PBE) of crystalline MgMnRu2 at its relaxed geometry.

extended XYZ file:
```
4
Lattice="-0.515 0.840 -2.628 -2.447 -2.930 -0.457 -4.104 3.145 1.810" Properties=species:S:1:pos:R:3 pbc="T T T"
Mn -4.619 1.360 -0.158
Ru -0.028 0.021 0.012
Ru -2.417 -0.327 -1.129
Mg -2.054 1.574 0.906
```

Values from the calculation:
- DOS at the Fermi energy: 0.87 states/eV per atom
- Space group: Pmm2
- Energy of formation from the pure elements: 0.14 eV/atom
- Volume: 14.773 Å³ per atom

---

8.
The following is a DFT calculation (PBE) of crystalline KFe2Se at its relaxed geometry.

extended XYZ file:
```
4
Lattice="-6.120 0.425 -0.058 3.191 -3.980 3.408 0.107 1.815 2.020" Properties=species:S:1:pos:R:3 pbc="T T T"
Se 1.649 -1.082 2.714
Fe 0.000 0.000 0.000
Fe -1.464 -1.777 1.675
K -3.007 1.120 0.981
```

Values from the calculation:
- Raw formation energy: 0.9367 eV per atom
- DOS at the Fermi energy: 1.42 states/eV per atom
- Space group: Cmmm
- Volume: 21.029 Å³ per atom

---

9.
The following is a DFT calculation (PBE) of crystalline Na4SrBr6 at its relaxed geometry.

extended XYZ file:
```
22
Lattice="4.253 0.000 0.000 -2.126 7.054 0.000 0.000 0.000 21.558" Properties=species:S:1:pos:R:3 pbc="T T T"
Br 0.000 4.390 5.389
Br 2.126 6.338 14.327
Br 2.126 3.817 8.910
Br 2.126 0.000 0.000
Br 0.000 0.716 7.231
Br 2.126 2.664 16.168
Br 2.126 0.000 10.779
Br 0.000 3.237 12.648
Br 2.126 3.817 1.869
Br 0.000 3.237 19.689
Br 2.126 6.338 18.010
Br 0.000 0.716 3.548
Sr 0.000 4.870 16.168
Sr 2.126 2.184 5.389
Na 2.126 1.363 13.472
Na 0.000 5.691 8.086
Na 2.126 5.087 20.707
Na 2.126 1.363 18.865
Na 0.000 1.967 9.928
Na 2.126 5.087 11.630
Na 0.000 5.691 2.693
Na 0.000 1.967 0.851
```

Values from the calculation:
- Raw formation energy: -1.7037 eV per atom
- DOS at the Fermi energy: 0.00 states/eV per atom
- Space group: Cmcm
- Volume: 29.396 Å³ per atom

---

10.
The following is a DFT calculation (PBE) of crystalline Li3Ga5 at its relaxed geometry.

extended XYZ file:
```
16
Lattice="-5.195 0.213 -2.147 0.796 -5.175 2.056 -3.138 2.639 7.856" Properties=species:S:1:pos:R:3 pbc="T T T"
Ga -4.741 1.923 4.957
Ga -1.087 0.318 1.958
Ga -4.090 1.351 7.561
Ga -2.797 -4.246 2.808
Ga -4.799 -2.538 3.587
Ga -3.447 -3.674 0.204
Ga -6.451 -2.642 5.807
Ga -2.739 0.214 4.178
Ga -5.397 -1.908 0.984
Ga -2.140 -0.416 6.782
Li -2.309 -2.474 4.907
Li -3.659 -1.169 -1.069
Li -0.740 -3.794 0.979
Li -5.228 0.151 2.858
Li -2.790 -1.602 1.923
Li -4.748 -0.721 5.842
```

Values from the calculation:
- ΔE to the lowest computed polymorph: 23 meV per atom
- DOS at the Fermi energy: 0.29 states/eV per atom
- Space group: Cmcm
- Energy of formation from the pure elements: -0.22 eV/atom
- Volume: 16.691 Å³ per atom

---

11.
The following is a DFT calculation (PBE) of crystalline FeSnTe2 at its relaxed geometry.

extended XYZ file:
```
8
Lattice="6.534 0.000 0.000 0.000 6.534 0.000 3.267 3.267 6.394" Properties=species:S:1:pos:R:3 pbc="T T T"
Fe 3.267 3.267 0.000
Fe 3.267 6.534 3.197
Te 4.901 5.300 4.795
Te 2.033 4.901 1.598
Te 4.502 1.634 1.598
Te 8.168 7.769 4.795
Sn 0.000 0.000 0.000
Sn 6.534 3.267 3.197
```

Values from the calculation:
- Raw formation energy: 0.1160 eV per atom
- DOS at the Fermi energy: 1.03 states/eV per atom
- Space group: I-42d
- Volume: 34.126 Å³ per atom

---

12.
The following is a DFT calculation (PBE) of crystalline Er5In2Ru2Rh at its relaxed geometry.

extended XYZ file:
```
20
Lattice="3.438 0.000 0.000 0.000 11.613 0.000 0.000 0.000 11.613" Properties=species:S:1:pos:R:3 pbc="T T T"
In 0.000 9.504 7.915
In 0.000 3.698 9.504
In 0.000 7.915 2.109
In 0.000 2.109 3.698
Er 1.719 5.080 3.522
Er 1.719 5.807 0.000
Er 1.719 0.727 9.328
Er 1.719 8.091 5.080
Er 1.719 10.886 2.285
Er 1.719 9.328 10.886
Er 1.719 2.285 0.727
Er 1.719 0.000 5.807
Er 1.719 6.533 8.091
Er 1.719 3.522 6.533
Ru 0.000 1.590 7.397
Ru 0.000 4.216 1.590
Ru 0.000 10.023 4.216
Ru 0.000 7.397 10.023
Rh 0.000 0.000 0.000
Rh 0.000 5.807 5.807
```

Values from the calculation:
- DOS at the Fermi energy: 0.63 states/eV per atom
- Space group: P4/mbm
- Energy of formation from the pure elements: -0.45 eV/atom
- Volume: 23.184 Å³ per atom

---

What is the volume in the eighth record?
21.029 Å³ per atom

---

Which value of volume does entry 2 give?
22.244 Å³ per atom

---

The highest volume belongs to which entry?
FeSnTe2